AcLa12Tb3: relaxed, PBE.

Cell and atoms, written as POSCAR:
```
AcLa12Tb3
1.0
5.251 0.000 0.000
0.000 5.251 0.000
0.000 0.000 21.020
Ac La Tb
1 12 3
Direct
0.000 0.000 0.000
0.000 0.500 0.130
0.000 0.500 0.377
0.000 0.500 0.623
0.000 0.500 0.870
0.500 0.000 0.130
0.500 0.000 0.377
0.500 0.000 0.623
0.500 0.000 0.870
0.500 0.500 0.000
0.500 0.500 0.255
0.500 0.500 0.500
0.500 0.500 0.745
0.000 0.000 0.254
0.000 0.000 0.500
0.000 0.000 0.746
```

## Properties
ΔE_f = 0.01 eV per atom
Space-group type = No. 123